Here is a relaxed NiIr2Se crystal from Alexandria via LeMat-Bulk. Energies are from PBE.

energy above the lowest structure with this stoichiometry: 0.00 kJ per mole of atoms
DOS(E_F): 4.37 states/eV/cell

a b c (Å): 3.598 2.723 6.332
angles (deg): 89.99 90.00 90.00
Positions (direct):
Ir 0.000 0.750 0.042
Ir 0.500 0.250 0.252
Ni 0.000 0.750 0.466
Se 0.500 0.750 0.739

---

Here is a relaxed SrInSb2Te crystal from Alexandria via LeMat-Bulk. Energies are from PBE.

energy above the lowest structure with this stoichiometry: 0.00 kJ per mole of atoms
DOS(E_F): 7.55 states/eV/cell

a b c (Å): 5.678 5.678 6.153
angles (deg): 90.00 90.00 90.00
Positions (direct):
Sb 0.000 0.500 0.000
Sb 0.500 0.000 0.000
Te 0.000 0.000 0.500
Sr 0.500 0.500 0.500
In 0.000 0.000 0.000

---

Here is a relaxed MgSe crystal from Alexandria via LeMat-Bulk. Energies are from PBE.

DOS(E_F): 0.00 states/eV/cell
calculated total energy: -3.72 eV/atom

a b c (Å): 11.446 11.446 4.342
angles (deg): 90.00 90.00 90.00
Positions (direct):
Mg 0.782 0.624 0.500
Mg 0.218 0.376 0.500
Mg 0.376 0.782 0.500
Mg 0.624 0.218 0.500
Mg 0.882 0.416 0.000
Mg 0.118 0.584 0.000
Mg 0.584 0.882 0.000
Mg 0.416 0.118 0.000
Se 0.762 0.394 0.500
Se 0.238 0.606 0.500
Se 0.606 0.762 0.500
Se 0.394 0.238 0.500
Se 0.903 0.651 0.000
Se 0.097 0.349 0.000
Se 0.349 0.903 0.000
Se 0.651 0.097 0.000

---

Here is a relaxed SrCrPt2 crystal from Alexandria via LeMat-Bulk. Energies are from PBE.

E_form: -143 meV per atom
energy above the lowest structure with this stoichiometry: 27.83 kJ per mole of atoms
DOS(E_F): 2.25 states/eV/cell

a b c (Å): 4.717 4.717 3.560
angles (deg): 90.00 90.00 97.63
Positions (direct):
Cr 0.000 0.500 0.500
Pt 0.000 0.000 0.000
Pt 0.500 0.500 0.000
Sr 0.500 0.000 0.500

---

Here is a relaxed HfTa2Cu crystal from Alexandria via LeMat-Bulk. Energies are from PBE.

E_form: 519 meV per atom
energy above the lowest structure with this stoichiometry: 17.91 kJ per mole of atoms
DOS(E_F): 10.75 states/eV/cell

a b c (Å): 3.872 3.872 10.452
angles (deg): 79.33 79.33 90.00
Positions (direct):
Hf 0.000 0.000 0.000
Hf 0.750 0.250 0.500
Cu 0.500 0.500 0.000
Cu 0.250 0.750 0.500
Ta 0.627 0.125 0.250
Ta 0.123 0.625 0.250
Ta 0.375 0.373 0.750
Ta 0.875 0.877 0.750

---

Here is a relaxed BaLaIr crystal from Alexandria via LeMat-Bulk. Energies are from PBE.

E_form: -438 meV per atom
energy above the lowest structure with this stoichiometry: 0.00 kJ per mole of atoms
DOS(E_F): 4.43 states/eV/cell

a b c (Å): 4.682 4.682 12.598
angles (deg): 90.00 90.00 120.00
Positions (direct):
Ir 0.667 0.333 0.162
Ir 0.333 0.667 0.838
Ba 0.000 0.000 0.315
Ba 0.000 0.000 0.685
La 0.667 0.333 0.907
La 0.333 0.667 0.093

---

Here is a relaxed As2OsW crystal from Alexandria via LeMat-Bulk. Energies are from PBE.

E_form: 629 meV per atom
energy above the lowest structure with this stoichiometry: 53.09 kJ per mole of atoms
DOS(E_F): 3.08 states/eV/cell

a b c (Å): 3.932 2.971 5.520
angles (deg): 89.95 90.00 90.00
Positions (direct):
As 0.000 0.249 0.985
As 0.000 0.251 0.515
Os 0.500 0.250 0.250
W 0.500 0.750 0.750

---

Here is a relaxed TbThGa2 crystal from Alexandria via LeMat-Bulk. Energies are from PBE.

E_form: -470 meV per atom
energy above the lowest structure with this stoichiometry: 9.65 kJ per mole of atoms
DOS(E_F): 3.23 states/eV/cell

a b c (Å): 5.164 5.164 5.164
angles (deg): 60.00 60.00 60.00
Positions (direct):
Tb 0.000 0.000 0.000
Ga 0.250 0.250 0.250
Ga 0.750 0.750 0.750
Th 0.500 0.500 0.500

---

Look up the DOS(E_F) of the eighth one. 3.23 states/eV/cell

---

Which formula does entry 8 have? TbThGa2

---

Look up the DOS(E_F) of the second one. 7.55 states/eV/cell

---

Look up the DOS(E_F) of the fifth one. 10.75 states/eV/cell